! KBeV2, optimized geometry, DFT GGA-PBE; values from VASP
! Space-group type   I-42d
! Density   2.9 Mg/m³
! Energy   -4.281 eV/atom
! Formation energy from the elements   1.48 eV/atom
&SYSTEM
  ibrav = 0, nat = 8, ntyp = 3
/
ATOMIC_SPECIES
K 39.10 K.upf
Be 9.01 Be.upf
V 50.94 V.upf
CELL_PARAMETERS angstrom
-2.139 2.139 9.531
2.139 -2.139 9.531
2.139 2.139 -9.531
ATOMIC_POSITIONS crystal
K 0.000 0.000 0.000
K 0.750 0.250 0.500
Be 0.250 0.750 0.500
Be 0.500 0.500 0.000
V 0.353 0.125 0.728
V 0.375 0.647 0.772
V 0.397 0.625 0.272
V 0.875 0.603 0.228


! K2BeV, optimized geometry, DFT GGA-PBE; values from VASP
! Space-group type   I-42d
! Density   1.3 Mg/m³
! Energy   -2.595 eV/atom
! Formation energy from the elements   1.17 eV/atom
&SYSTEM
  ibrav = 0, nat = 8, ntyp = 3
/
ATOMIC_SPECIES
K 39.10 K.upf
Be 9.01 Be.upf
V 50.94 V.upf
CELL_PARAMETERS angstrom
-6.094 6.094 2.384
6.094 -6.094 2.384
6.094 6.094 -2.384
ATOMIC_POSITIONS crystal
K 0.375 0.040 0.165
K 0.790 0.625 0.665
K 0.875 0.210 0.835
K 0.960 0.125 0.335
Be 0.000 0.000 0.000
Be 0.750 0.250 0.500
V 0.250 0.750 0.500
V 0.500 0.500 0.000


! KBeV, optimized geometry, DFT GGA-PBE; values from VASP
! Space-group type   P-6m2
! Density   2.1 Mg/m³
! Energy above the most stable polymorph in this dataset   82.9 kJ per mole of atoms
! Energy   -3.324 eV/atom
! Formation energy from the elements   1.32 eV/atom
&SYSTEM
  ibrav = 0, nat = 3, ntyp = 3
/
ATOMIC_SPECIES
K 39.10 K.upf
Be 9.01 Be.upf
V 50.94 V.upf
CELL_PARAMETERS angstrom
3.935 0.000 0.000
-1.968 3.408 0.000
0.000 0.000 5.771
ATOMIC_POSITIONS crystal
K 0.000 0.000 0.000
Be 0.333 0.667 0.500
V 0.667 0.333 0.500


! KBeV, optimized geometry, DFT GGA-PBE; values from VASP
! Space-group type   P4/nmm
! Density   2.0 Mg/m³
! Energy above the most stable polymorph in this dataset   42.0 kJ per mole of atoms
! Energy   -3.748 eV/atom
! Formation energy from the elements   0.90 eV/atom
&SYSTEM
  ibrav = 0, nat = 6, ntyp = 3
/
ATOMIC_SPECIES
K 39.10 K.upf
Be 9.01 Be.upf
V 50.94 V.upf
CELL_PARAMETERS angstrom
4.371 0.000 0.000
0.000 4.371 0.000
0.000 0.000 8.739
ATOMIC_POSITIONS crystal
K 0.250 0.250 0.189
K 0.750 0.750 0.811
Be 0.250 0.750 0.500
Be 0.750 0.250 0.500
V 0.250 0.250 0.565
V 0.750 0.750 0.435


! KBeV, optimized geometry, DFT GGA-PBE; values from VASP
! Space-group type   P1
! Density   2.3 Mg/m³
! Energy above the most stable polymorph in this dataset   0.4 kJ per mole of atoms
! Energy   -4.180 eV/atom
! Formation energy from the elements   0.47 eV/atom
&SYSTEM
  ibrav = 0, nat = 6, ntyp = 3
/
ATOMIC_SPECIES
K 39.10 K.upf
Be 9.01 Be.upf
V 50.94 V.upf
CELL_PARAMETERS angstrom
3.453 0.000 0.000
0.000 3.456 0.000
0.034 1.603 12.184
ATOMIC_POSITIONS crystal
K 0.000 0.000 0.000
K 0.497 0.323 0.340
Be 0.011 0.195 0.591
Be 0.512 0.696 0.591
V 0.010 0.631 0.731
V 0.510 0.131 0.731


! KBeV, optimized geometry, DFT GGA-PBE; values from VASP
! Space-group type   P6_3/mmc
! Density   2.0 Mg/m³
! Energy above the most stable polymorph in this dataset   80.5 kJ per mole of atoms
! Energy   -3.349 eV/atom
! Formation energy from the elements   1.30 eV/atom
&SYSTEM
  ibrav = 0, nat = 6, ntyp = 3
/
ATOMIC_SPECIES
K 39.10 K.upf
Be 9.01 Be.upf
V 50.94 V.upf
CELL_PARAMETERS angstrom
4.160 0.000 0.000
-2.080 3.603 0.000
0.000 0.000 11.136
ATOMIC_POSITIONS crystal
K 0.000 0.000 0.000
K 0.000 0.000 0.500
Be 0.333 0.667 0.250
Be 0.667 0.333 0.750
V 0.333 0.667 0.750
V 0.667 0.333 0.250


! KBeV3, optimized geometry, DFT GGA-PBE; values from VASP
! Space-group type   Pm-3m
! Density   4.4 Mg/m³
! Energy above the most stable polymorph in this dataset   113.1 kJ per mole of atoms
! Energy   -3.868 eV/atom
! Formation energy from the elements   2.57 eV/atom
&SYSTEM
  ibrav = 0, nat = 5, ntyp = 3
/
ATOMIC_SPECIES
K 39.10 K.upf
Be 9.01 Be.upf
V 50.94 V.upf
CELL_PARAMETERS angstrom
4.218 0.000 0.000
0.000 4.218 0.000
0.000 0.000 4.218
ATOMIC_POSITIONS crystal
K 0.000 0.000 0.000
Be 0.500 0.500 0.500
V 0.000 0.000 0.500
V 0.000 0.500 0.000
V 0.500 0.000 0.000


! KBeV, optimized geometry, DFT GGA-PBE; values from VASP
! Space-group type   P6_3/mmc
! Density   1.3 Mg/m³
! Energy above the most stable polymorph in this dataset   126.2 kJ per mole of atoms
! Energy   -2.876 eV/atom
! Formation energy from the elements   1.77 eV/atom
&SYSTEM
  ibrav = 0, nat = 6, ntyp = 3
/
ATOMIC_SPECIES
K 39.10 K.upf
Be 9.01 Be.upf
V 50.94 V.upf
CELL_PARAMETERS angstrom
5.512 0.000 0.000
-2.756 4.774 0.000
0.000 0.000 9.559
ATOMIC_POSITIONS crystal
K 0.333 0.667 0.250
K 0.667 0.333 0.750
Be 0.000 0.000 0.250
Be 0.000 0.000 0.750
V 0.000 0.000 0.000
V 0.000 0.000 0.500